(1)
## Nd3Si3Ni2 (PBE)

Data for crystalline Nd3Si3Ni2 at its relaxed geometry.

abc: 4.134 5.868 14.270
angles: 90.00 90.00 110.62
Atoms (fractional coordinates):
Nd 0.074 0.148 0.893
Nd 0.635 0.271 0.250
Nd 0.074 0.148 0.607
Nd 0.365 0.729 0.750
Nd 0.926 0.852 0.393
Nd 0.926 0.852 0.107
Ni 0.217 0.434 0.101
Ni 0.217 0.434 0.399
Ni 0.783 0.566 0.899
Ni 0.783 0.566 0.601
Si 0.657 0.314 0.461
Si 0.343 0.686 0.539
Si 0.667 0.334 0.750
Si 0.657 0.314 0.039
Si 0.343 0.686 0.961
Si 0.333 0.666 0.250

Computed properties:
- E_form (uncorrected) (meV per atom) = -700
- SG = Cmcm (63)
- total magnetic moment (μB/cell) = 0.00

=====

(2)
## Tb3AlNi8 (PBE)

Data for crystalline Tb3AlNi8 at its relaxed geometry.

abc: 5.073 5.073 16.082
angles: 90.00 90.00 120.00
Atoms (fractional coordinates):
Ni 0.000 0.000 0.250
Ni 0.831 0.169 0.874
Ni 0.000 0.000 0.750
Ni 0.831 0.169 0.626
Ni 0.333 0.667 0.250
Ni 0.169 0.337 0.126
Ni 0.663 0.831 0.126
Ni 0.831 0.663 0.626
Ni 0.667 0.333 0.750
Ni 0.169 0.831 0.126
Ni 0.169 0.337 0.374
Ni 0.337 0.169 0.874
Ni 0.169 0.831 0.374
Ni 0.831 0.663 0.874
Ni 0.337 0.169 0.626
Ni 0.663 0.831 0.374
Al 0.000 0.000 0.000
Al 0.000 0.000 0.500
Tb 0.333 0.667 0.545
Tb 0.333 0.667 0.750
Tb 0.333 0.667 0.955
Tb 0.667 0.333 0.250
Tb 0.667 0.333 0.045
Tb 0.667 0.333 0.455

Computed properties:
- SG = P6_3/mmc (194)
- total magnetic moment (μB/cell) = 0.00
- E_tot (eV/cell) = -138.38

=====

(3)
## AgSn3Ir (PBE)

Data for crystalline AgSn3Ir at its relaxed geometry.

abc: 5.158 5.158 5.158
angles: 90.00 90.00 90.00
Atoms (fractional coordinates):
Sn 0.000 0.000 0.500
Sn 0.500 0.000 0.000
Sn 0.000 0.500 0.000
Ag 0.500 0.500 0.500
Ir 0.000 0.000 0.000

Computed properties:
- SG = Pm-3m (221)
- total magnetic moment (μB/cell) = 0.00
- E_tot (eV/cell) = -22.33

=====

(4)
## NbIrSeN2 (PBE)

Data for crystalline NbIrSeN2 at its relaxed geometry.

abc: 3.720 7.840 3.720
angles: 90.00 90.00 90.00
Site moments in Bohr magnetons follow the coordinates.
Atoms (fractional coordinates):
Se 0.000 0.500 0.000  -0.08
N 0.500 0.000 0.000  0.01
N 0.000 0.000 0.500  0.02
Nb 0.500 0.500 0.500  1.95
Ir 0.000 0.000 0.000  0.00

Computed properties:
- E_form (uncorrected) (meV per atom) = 904
- SG = P4/mmm (123)
- total magnetic moment (μB/cell) = 2.38